No. 1
VASP calculation (PBE-GGA) on a geometry-optimized Rb2PN structure.

CIF file:
```
data_Rb2PN
_space_group_name_H-M_alt 'I -4 2 d'
_space_group_IT_number 122
_space_group_name_Hall 'I -4 2bw'
_cell_length_a 12.239
_cell_length_b 12.239
_cell_length_c 3.618
_cell_angle_alpha 90.00
_cell_angle_beta 90.00
_cell_angle_gamma 90.00
loop_
_atom_site_label
_atom_site_fract_x
_atom_site_fract_y
_atom_site_fract_z
_atom_site_occupancy
Rb1 0.010 0.250 0.125 1
P1 0.000 0.000 0.500 1
N1 0.000 0.000 0.000 1
```

As for the total energy: -60.2 eV for the cell shown. The calculation puts the energy relative to the elements, uncorrected at 0.16 eV per atom. The value obtained for the density of states at the Fermi level is 0.903 states/eV/atom.

=====

No. 2
VASP calculation (PBE-GGA) on a geometry-optimized SnAs2SeN structure.

CIF file:
```
data_SnAs2SeN
_space_group_name_H-M_alt 'P 4/m m m'
_space_group_IT_number 123
_space_group_name_Hall '-P 4 2'
_cell_length_a 5.276
_cell_length_b 5.276
_cell_length_c 5.159
_cell_angle_alpha 90.00
_cell_angle_beta 90.00
_cell_angle_gamma 90.00
loop_
_atom_site_label
_atom_site_fract_x
_atom_site_fract_y
_atom_site_fract_z
_atom_site_occupancy
Sn1 0.000 0.000 0.000 1
As1 0.000 0.500 0.000 1
Se1 0.000 0.000 0.500 1
N1 0.500 0.500 0.500 1
```

As for the total energy: -14.8 eV for the cell shown. The calculation puts the energy relative to the elements, uncorrected at 2.06 eV per atom. The value obtained for the density of states at the Fermi level is 1.881 states/eV/atom.